PrMgH6Rh2 after structural relaxation. Source: the Alexandria database, functional PBE-GGA.

Summary:
N(E_F) = 0.33 states/eV/atom
Electronic total energy = -4.524 eV per atom

Lattice parameters (Å, degrees): 4.6349 4.6349 15.8425 90.00 90.00 120.00
Space group R-3m (No. 166, hexagonal axes)
One atom of each set of equivalent atoms:
1 Pr 0.0000 0.0000 0.0000 [3 per cell]
2 Mg 0.0000 0.0000 0.5000 [3 per cell]
3 H 0.0020 0.5010 0.9356 [18 per cell]
4 Rh 0.0000 0.0000 0.2072 [6 per cell]